# PBE+U TlV2PtO8, relaxed
data_TlV2PtO8
_chemical_formula_sum 'Tl1 V2 Pt1 O8'
_symmetry_space_group_name_H-M 'P 1'
_symmetry_Int_Tables_number 1
_cell_length_a 5.643
_cell_length_b 5.643
_cell_length_c 7.592
_cell_angle_alpha 90.00
_cell_angle_beta 90.00
_cell_angle_gamma 120.00
loop_
_symmetry_equiv_pos_as_xyz
'x,y,z'
loop_
_atom_site_label
_atom_site_type_symbol
_atom_site_fract_x
_atom_site_fract_y
_atom_site_fract_z
Tl1 Tl 0.000 0.000 0.000
V1 V 0.333 0.667 0.277
V2 V 0.667 0.333 0.723
Pt1 Pt 0.000 0.000 0.500
O1 O 0.160 0.320 0.345
O2 O 0.160 0.840 0.345
O3 O 0.320 0.160 0.655
O4 O 0.333 0.667 0.059
O5 O 0.667 0.333 0.941
O6 O 0.680 0.840 0.345
O7 O 0.840 0.160 0.655
O8 O 0.840 0.680 0.655
# - Magnetization: 0.72 μB/f.u.
# - Space-group type: P-3m1, No. 164
# - Total DFT energy (no corrections): -6.46 eV/atom